(1)
Entry from the Alexandria database: an optimized crystal structure of Pm2Co7 (PBE-GGA).

VASP energy, eV per atom: -6.651

abc: 5.0294 5.0294 36.4667
angles: 90.00 90.00 120.00
Last column: nearest neighbours and their distance in Å.
Space group R-3m (No. 166, hexagonal axes)
Inequivalent atoms, fractional coordinates:
Pm  0.0000  0.0000  0.0513  12 Co 2.91-3.13
Pm  0.0000  0.0000  0.1481  12 Co 2.91-3.17, 3 Pm 3.20
Co  0.0000  0.0000  0.2788  6 Co 2.44-2.46
Co  0.0000  0.0000  0.3876  6 Co 2.43-2.45
Co  0.0000  0.0000  0.5000  6 Co 2.58
Co  0.0000  0.5000  0.0000  8 Co 2.45-2.51
Co  0.0026  0.5013  0.1079  7 Co 2.43-2.58

(2)
Entry from the Alexandria database: an optimized crystal structure of PmCo3 (PBE-GGA).

VASP energy, eV per atom: -6.591

abc: 8.7256 5.0292 8.7372
angles: 90.00 109.42 90.00
Last column: nearest neighbours and their distance in Å.
Space group C2/m (No. 12)
Inequivalent atoms, fractional coordinates:
Pm  0.0000  0.0000  0.0000  18 Co 2.90-3.20
Pm  0.1398  0.0000  0.4196  12 Co 2.92-3.16, 3 Pm 3.19-3.20
Co  0.0000  0.5000  0.5000  6 Co 2.59
Co  0.0793  0.5000  0.2397  7 Co 2.44-2.59
Co  0.1662  0.5000  0.9985  6 Co 2.44-2.47
Co  0.1699  0.2508  0.7602  7 Co 2.44-2.59